(1)
! La2PmEr3Te6 (PBE, optimized geometry); values from VASP
&SYSTEM
  ibrav = 0, nat = 12, ntyp = 4
/
ATOMIC_SPECIES
Te 127.60 Te.upf
Er 167.26 Er.upf
Pm 145.00 Pm.upf
La 138.91 La.upf
ATOMIC_POSITIONS crystal
Te 0.338 0.407 0.675
Te 0.662 0.593 0.325
Te 0.994 0.256 0.989
Te 0.006 0.744 0.011
Te 0.669 0.069 0.338
Te 0.331 0.931 0.662
Er 0.168 0.833 0.336
Er 0.500 0.500 0.000
Er 0.832 0.167 0.664
Pm 0.500 0.000 0.000
La 0.166 0.330 0.331
La 0.834 0.670 0.669
CELL_PARAMETERS angstrom
-0.209 0.809 -4.297
-7.106 -5.445 -0.678
-3.587 8.411 3.987
! **Space group**: C2/m
! **Crystal system**: monoclinic
! **Energy relative to the elements, uncorrected**: -133.12 kJ/mol of atoms

(2)
! Nd2AlPt2 (PBE, optimized geometry); values from VASP
&SYSTEM
  ibrav = 0, nat = 10, ntyp = 3
/
ATOMIC_SPECIES
Nd 144.24 Nd.upf
Al 26.98 Al.upf
Pt 195.08 Pt.upf
ATOMIC_POSITIONS crystal
Nd 0.850 0.691 0.700
Nd 0.150 0.309 0.300
Nd 0.650 0.991 0.300
Nd 0.350 0.009 0.700
Al 0.750 0.500 0.000
Al 0.250 0.500 0.000
Pt 0.398 0.641 0.797
Pt 0.102 0.845 0.203
Pt 0.602 0.359 0.203
Pt 0.898 0.155 0.797
CELL_PARAMETERS angstrom
-0.670 4.550 3.751
-4.945 -3.821 3.752
6.918 -2.462 -0.472
! **Space group**: Ibam
! **DFT formation energy**: -979.4 meV/atom
! **Crystal system**: orthorhombic

(3)
! SbOs3 (PBE, optimized geometry); values from VASP
&SYSTEM
  ibrav = 0, nat = 8, ntyp = 2
/
ATOMIC_SPECIES
Os 190.23 Os.upf
Sb 121.76 Sb.upf
ATOMIC_POSITIONS crystal
Os 0.869 0.731 0.250
Os 0.269 0.131 0.250
Os 0.215 0.785 0.750
Os 0.731 0.869 0.750
Os 0.131 0.269 0.750
Os 0.785 0.215 0.250
Sb 0.638 0.362 0.750
Sb 0.362 0.638 0.250
CELL_PARAMETERS angstrom
3.306 -4.437 0.000
3.306 4.437 0.000
0.000 0.000 4.510
! **Space group**: Cmcm
! **Crystal system**: orthorhombic
! **Energy relative to the elements, uncorrected**: 62.82 kJ/mol of atoms

(4)
! ThPaTl (PBE, optimized geometry); values from VASP
&SYSTEM
  ibrav = 0, nat = 6, ntyp = 3
/
ATOMIC_SPECIES
Pa 231.04 Pa.upf
Th 232.04 Th.upf
Tl 204.38 Tl.upf
ATOMIC_POSITIONS crystal
Pa 0.000 0.853 0.250
Pa 0.000 0.147 0.750
Th 0.500 0.816 0.750
Th 0.500 0.184 0.250
Tl 0.000 0.500 0.000
Tl 0.000 0.500 0.500
CELL_PARAMETERS angstrom
3.367 0.000 0.000
0.000 8.595 0.000
0.000 0.000 5.945
! **Relative energy among the computed polymorphs**: 0.0 meV/atom
! **Space group**: Pmma
! **DFT formation energy**: 209.3 meV/atom
! **Crystal system**: orthorhombic

(5)
! NpZn2CdO8 (PBE, optimized geometry); values from VASP
&SYSTEM
  ibrav = 0, nat = 12, ntyp = 4
/
ATOMIC_SPECIES
O 16.00 O.upf
Zn 65.41 Zn.upf
Cd 112.41 Cd.upf
Np 237.00 Np.upf
ATOMIC_POSITIONS crystal
O 0.422 0.128 0.500
O 0.703 0.757 0.000
O 0.180 0.756 0.226
O 0.578 0.872 0.500
O 0.820 0.244 0.226
O 0.820 0.244 0.774
O 0.297 0.243 0.000
O 0.180 0.756 0.774
Zn 0.500 0.500 0.795
Zn 0.500 0.500 0.205
Cd 0.000 0.000 0.500
Np 0.000 0.000 0.000
CELL_PARAMETERS angstrom
-3.205 2.594 2.991
-3.895 -1.612 -1.883
-0.021 -5.247 4.526
! **Space group**: P2/m
! **Crystal system**: monoclinic
! **Energy relative to the elements, uncorrected**: -134.72 kJ/mol of atoms

(6)
! La3Mg11 (PBE, optimized geometry); values from VASP
&SYSTEM
  ibrav = 0, nat = 14, ntyp = 2
/
ATOMIC_SPECIES
Mg 24.30 Mg.upf
La 138.91 La.upf
ATOMIC_POSITIONS crystal
Mg 0.657 0.986 0.700
Mg 0.500 0.332 0.668
Mg 0.500 0.668 0.332
Mg 0.860 0.851 0.428
Mg 0.343 0.300 0.014
Mg 0.000 0.500 0.500
Mg 0.140 0.572 0.149
Mg 0.860 0.428 0.851
Mg 0.657 0.700 0.986
Mg 0.343 0.014 0.300
Mg 0.140 0.149 0.572
La 0.289 0.711 0.711
La 0.000 0.000 0.000
La 0.711 0.289 0.289
CELL_PARAMETERS angstrom
-0.115 -3.173 -4.051
8.843 -2.238 -1.769
2.582 -8.337 3.187
! **Space group**: Immm
! **DFT formation energy**: -57.1 meV/atom
! **Crystal system**: orthorhombic

(7)
! Ho4Hg2Au (PBE, optimized geometry); values from VASP
&SYSTEM
  ibrav = 0, nat = 7, ntyp = 3
/
ATOMIC_SPECIES
Au 196.97 Au.upf
Ho 164.93 Ho.upf
Hg 200.59 Hg.upf
ATOMIC_POSITIONS crystal
Au 0.000 0.000 0.000
Ho 0.626 0.626 0.123
Ho 0.374 0.374 0.877
Ho 0.123 0.123 0.630
Ho 0.877 0.877 0.370
Hg 0.755 0.755 0.734
Hg 0.245 0.245 0.266
CELL_PARAMETERS angstrom
4.884 0.000 1.526
2.204 4.359 1.526
-0.100 -0.062 8.900
! **Space group**: R-3m
! **DFT formation energy**: -426.2 meV/atom
! **Crystal system**: trigonal

(8)
! Ac5In4Pd (PBE, optimized geometry); values from VASP
&SYSTEM
  ibrav = 0, nat = 10, ntyp = 3
/
ATOMIC_SPECIES
Ac 227.00 Ac.upf
In 114.82 In.upf
Pd 106.42 Pd.upf
ATOMIC_POSITIONS crystal
Ac 0.500 0.500 0.084
Ac 0.500 0.500 0.291
Ac 0.500 0.500 0.916
Ac 0.500 0.500 0.709
Ac 0.500 0.500 0.500
In 0.000 0.000 0.396
In 0.000 0.000 0.604
In 0.000 0.000 0.189
In 0.000 0.000 0.811
Pd 0.000 0.000 0.000
CELL_PARAMETERS angstrom
-0.558 -3.687 1.122
3.134 -1.094 -2.036
12.564 3.423 17.499
! **Space group**: P4/mmm
! **DFT formation energy**: -485.6 meV/atom
! **Crystal system**: tetragonal

Table of energy (eV per atom), in record order: -5.308 -6.051 -8.802 -6.218 -6.069 -2.366 -3.596 -4.155
Table of mass density (Mg/m³), in record order: 7.60 9.57 17.38 12.88 6.24 2.98 10.97 8.54